Entry 1:
The following is a PBE calculation of a relaxed Ho5In2Ir2Ru crystal, from Alexandria.

energy of formation	-0.55	eV/atom
energy	-121.70	eV/cell
volume	23.732	Å³ per atom
Fermi-level density of states	0.640	states/eV/atom
symmetry	P4/mbm (127)

```
data_Ho5In2Ir2Ru
_cell_length_a 11.6129
_cell_length_b 11.6129
_cell_length_c 3.5196
_cell_angle_alpha 90.00
_cell_angle_beta 90.00
_cell_angle_gamma 90.00
_space_group_name_H-M_alt 'P 1'
_space_group_IT_number 1
_space_group_name_Hall 'P 1'
loop_
_atom_site_label
_atom_site_fract_x
_atom_site_fract_y
_atom_site_fract_z
Ho1 0.0000 0.5000 0.0000
Ho2 0.0644 0.1945 0.0000
Ho3 0.1945 0.9356 0.0000
Ho4 0.3055 0.4356 0.0000
Ho5 0.4356 0.6945 0.0000
Ho6 0.5000 0.0000 0.0000
Ho7 0.5644 0.3055 0.0000
Ho8 0.6945 0.5644 0.0000
Ho9 0.8055 0.0644 0.0000
Ho10 0.9356 0.8055 0.0000
In1 0.1799 0.6799 0.5000
In2 0.3201 0.1799 0.5000
In3 0.6799 0.8201 0.5000
In4 0.8201 0.3201 0.5000
Ir1 0.1368 0.3632 0.5000
Ir2 0.3632 0.8632 0.5000
Ir3 0.6368 0.1368 0.5000
Ir4 0.8632 0.6368 0.5000
Ru1 0.0000 0.0000 0.5000
Ru2 0.5000 0.5000 0.5000
```

Entry 2:
The following is a PBE calculation of a relaxed Ho4InIrRu2 crystal, from Alexandria.

energy of formation	-0.51	eV/atom
energy	-52.52	eV/cell
volume	21.047	Å³ per atom
Fermi-level density of states	0.509	states/eV/atom
symmetry	R-3m (166)

```
data_Ho4InIrRu2
_cell_length_a 8.5806
_cell_length_b 8.5806
_cell_length_c 8.5806
_cell_angle_alpha 33.17
_cell_angle_beta 33.17
_cell_angle_gamma 33.17
_space_group_name_H-M_alt 'P 1'
_space_group_IT_number 1
_space_group_name_Hall 'P 1'
loop_
_atom_site_label
_atom_site_fract_x
_atom_site_fract_y
_atom_site_fract_z
Ho1 0.1179 0.1179 0.1179
Ho2 0.3704 0.3704 0.3704
Ho3 0.6296 0.6296 0.6296
Ho4 0.8821 0.8821 0.8821
In1 0.5000 0.5000 0.5000
Ir1 0.0000 0.0000 0.0000
Ru1 0.2484 0.2484 0.2484
Ru2 0.7516 0.7516 0.7516
```

Entry 3:
The following is a PBE calculation of a relaxed HoScInIr crystal, from Alexandria.

energy of formation	-0.58	eV/atom
energy	-99.25	eV/cell
volume	21.099	Å³ per atom
Fermi-level density of states	0.606	states/eV/atom
symmetry	F-43m (216)

```
data_HoScInIr
_cell_length_a 6.9629
_cell_length_b 6.9629
_cell_length_c 6.9629
_cell_angle_alpha 90.00
_cell_angle_beta 90.00
_cell_angle_gamma 90.00
_space_group_name_H-M_alt 'P 1'
_space_group_IT_number 1
_space_group_name_Hall 'P 1'
loop_
_atom_site_label
_atom_site_fract_x
_atom_site_fract_y
_atom_site_fract_z
Ho1 0.0000 0.0000 0.0000
Ho2 0.0000 0.5000 0.5000
Ho3 0.5000 0.0000 0.5000
Ho4 0.5000 0.5000 0.0000
Sc1 0.0000 0.0000 0.5000
Sc2 0.0000 0.5000 0.0000
Sc3 0.5000 0.0000 0.0000
Sc4 0.5000 0.5000 0.5000
In1 0.2500 0.2500 0.7500
In2 0.2500 0.7500 0.2500
In3 0.7500 0.2500 0.2500
In4 0.7500 0.7500 0.7500
Ir1 0.2500 0.2500 0.2500
Ir2 0.2500 0.7500 0.7500
Ir3 0.7500 0.2500 0.7500
Ir4 0.7500 0.7500 0.2500
```

Entry 4:
The following is a PBE calculation of a relaxed SmHoInIr crystal, from Alexandria.

energy of formation	-0.51	eV/atom
energy	-91.70	eV/cell
volume	23.705	Å³ per atom
Fermi-level density of states	0.774	states/eV/atom
symmetry	F-43m (216)

```
data_SmHoInIr
_cell_length_a 7.2385
_cell_length_b 7.2385
_cell_length_c 7.2385
_cell_angle_alpha 90.00
_cell_angle_beta 90.00
_cell_angle_gamma 90.00
_space_group_name_H-M_alt 'P 1'
_space_group_IT_number 1
_space_group_name_Hall 'P 1'
loop_
_atom_site_label
_atom_site_fract_x
_atom_site_fract_y
_atom_site_fract_z
Sm1 0.0000 0.0000 0.0000
Sm2 0.0000 0.5000 0.5000
Sm3 0.5000 0.0000 0.5000
Sm4 0.5000 0.5000 0.0000
Ho1 0.0000 0.0000 0.5000
Ho2 0.0000 0.5000 0.0000
Ho3 0.5000 0.0000 0.0000
Ho4 0.5000 0.5000 0.5000
In1 0.2500 0.2500 0.2500
In2 0.2500 0.7500 0.7500
In3 0.7500 0.2500 0.7500
In4 0.7500 0.7500 0.2500
Ir1 0.2500 0.2500 0.7500
Ir2 0.2500 0.7500 0.2500
Ir3 0.7500 0.2500 0.2500
Ir4 0.7500 0.7500 0.7500
```

Entry 5:
The following is a PBE calculation of a relaxed YHoInIr crystal, from Alexandria.

energy of formation	-0.56	eV/atom
energy	-99.59	eV/cell
volume	23.015	Å³ per atom
Fermi-level density of states	0.581	states/eV/atom
symmetry	F-43m (216)

```
data_YHoInIr
_cell_length_a 7.1676
_cell_length_b 7.1676
_cell_length_c 7.1676
_cell_angle_alpha 90.00
_cell_angle_beta 90.00
_cell_angle_gamma 90.00
_space_group_name_H-M_alt 'P 1'
_space_group_IT_number 1
_space_group_name_Hall 'P 1'
loop_
_atom_site_label
_atom_site_fract_x
_atom_site_fract_y
_atom_site_fract_z
Y1 0.0000 0.0000 0.0000
Y2 0.0000 0.5000 0.5000
Y3 0.5000 0.0000 0.5000
Y4 0.5000 0.5000 0.0000
Ho1 0.0000 0.0000 0.5000
Ho2 0.0000 0.5000 0.0000
Ho3 0.5000 0.0000 0.0000
Ho4 0.5000 0.5000 0.5000
In1 0.2500 0.2500 0.7500
In2 0.2500 0.7500 0.2500
In3 0.7500 0.2500 0.2500
In4 0.7500 0.7500 0.7500
Ir1 0.2500 0.2500 0.2500
Ir2 0.2500 0.7500 0.7500
Ir3 0.7500 0.2500 0.7500
Ir4 0.7500 0.7500 0.2500
```

Entry 6:
The following is a PBE calculation of a relaxed KHoIn2 crystal, from Alexandria.

energy of formation	-0.23	eV/atom
energy	-12.06	eV/cell
volume	31.451	Å³ per atom
Fermi-level density of states	0.618	states/eV/atom
energy above the most stable polymorph in this dataset	0.000	eV per atom
symmetry	P4/mmm (123)

```
data_KHoIn2
_cell_length_a 3.8309
_cell_length_b 3.8309
_cell_length_c 8.5720
_cell_angle_alpha 90.00
_cell_angle_beta 90.00
_cell_angle_gamma 90.00
_space_group_name_H-M_alt 'P 1'
_space_group_IT_number 1
_space_group_name_Hall 'P 1'
loop_
_atom_site_label
_atom_site_fract_x
_atom_site_fract_y
_atom_site_fract_z
K1 0.0000 0.0000 0.0000
Ho1 0.0000 0.0000 0.5000
In1 0.5000 0.5000 0.2978
In2 0.5000 0.5000 0.7022
```

Entry 7:
The following is a PBE calculation of a relaxed KHoIn4O8 crystal, from Alexandria.

energy relative to the elements, uncorrected	-1.797	eV per atom
energy	-81.45	eV/cell
volume	15.404	Å³ per atom
Fermi-level density of states	0.534	states/eV/atom
symmetry	R3m (160)

```
data_KHoIn4O8
_cell_length_a 6.7434
_cell_length_b 6.7434
_cell_length_c 6.7434
_cell_angle_alpha 59.76
_cell_angle_beta 59.76
_cell_angle_gamma 59.76
_space_group_name_H-M_alt 'P 1'
_space_group_IT_number 1
_space_group_name_Hall 'P 1'
loop_
_atom_site_label
_atom_site_fract_x
_atom_site_fract_y
_atom_site_fract_z
K1 0.0000 0.0000 0.0000
Ho1 0.3722 0.3722 0.3722
In1 0.3720 0.3720 0.8871
In2 0.3720 0.8871 0.3720
In3 0.7544 0.7544 0.7544
In4 0.8871 0.3720 0.3720
O1 0.1438 0.1438 0.5668
O2 0.1438 0.5668 0.1438
O3 0.1451 0.1451 0.1451
O4 0.1486 0.6215 0.6215
O5 0.5668 0.1438 0.1438
O6 0.6174 0.6174 0.6174
O7 0.6215 0.1486 0.6215
O8 0.6215 0.6215 0.1486
```

Entry 8:
The following is a PBE calculation of a relaxed K2HoInS4 crystal, from Alexandria.

energy relative to the elements, uncorrected	-1.323	eV per atom
energy	-73.21	eV/cell
volume	25.043	Å³ per atom
symmetry	Imma (74)

```
data_K2HoInS4
_cell_length_a 8.2901
_cell_length_b 8.2901
_cell_length_c 8.2901
_cell_angle_alpha 120.63
_cell_angle_beta 120.07
_cell_angle_gamma 89.39
_space_group_name_H-M_alt 'P 1'
_space_group_IT_number 1
_space_group_name_Hall 'P 1'
loop_
_atom_site_label
_atom_site_fract_x
_atom_site_fract_y
_atom_site_fract_z
K1 0.0000 0.0000 0.0000
K2 0.5000 0.0000 0.0000
K3 0.5000 0.0000 0.5000
K4 0.5000 0.5000 0.5000
Ho1 0.0000 0.5000 0.5000
Ho2 0.5000 0.5000 0.0000
In1 0.0000 0.0000 0.5000
In2 0.0000 0.5000 0.0000
S1 0.2015 0.7369 0.4646
S2 0.2277 0.2631 0.9646
S3 0.2358 0.2643 0.5284
S4 0.2358 0.7074 0.9716
S5 0.7642 0.2926 0.0284
S6 0.7642 0.7357 0.4716
S7 0.7723 0.7369 0.0354
S8 0.7985 0.2631 0.5354
```

Entry 9:
The following is a PBE calculation of a relaxed K3Ho2InS6 crystal, from Alexandria.

energy relative to the elements, uncorrected	-1.537	eV per atom
energy	-58.39	eV/cell
volume	25.590	Å³ per atom
Fermi-level density of states	0.000	states/eV/atom
symmetry	C2/m (12)

```
data_K3Ho2InS6
_cell_length_a 6.9294
_cell_length_b 6.9294
_cell_length_c 7.7379
_cell_angle_alpha 98.59
_cell_angle_beta 98.59
_cell_angle_gamma 120.00
_space_group_name_H-M_alt 'P 1'
_space_group_IT_number 1
_space_group_name_Hall 'P 1'
loop_
_atom_site_label
_atom_site_fract_x
_atom_site_fract_y
_atom_site_fract_z
K1 0.0000 0.0000 0.0000
K2 0.3332 0.6668 0.0000
K3 0.6668 0.3332 0.0000
Ho1 0.1666 0.8334 0.5000
Ho2 0.8334 0.1666 0.5000
In1 0.5000 0.5000 0.5000
S1 0.1048 0.4333 0.2997
S2 0.2383 0.2383 0.7003
S3 0.4333 0.1048 0.2997
S4 0.5667 0.8952 0.7003
S5 0.7617 0.7617 0.2997
S6 0.8952 0.5667 0.7003
```

Entry 10:
The following is a PBE calculation of a relaxed K2HoInSe4 crystal, from Alexandria.

energy relative to the elements, uncorrected	-1.243	eV per atom
energy	-66.79	eV/cell
volume	28.502	Å³ per atom
symmetry	Imma (74)

```
data_K2HoInSe4
_cell_length_a 8.6568
_cell_length_b 8.6568
_cell_length_c 8.6568
_cell_angle_alpha 120.56
_cell_angle_beta 120.21
_cell_angle_gamma 89.34
_space_group_name_H-M_alt 'P 1'
_space_group_IT_number 1
_space_group_name_Hall 'P 1'
loop_
_atom_site_label
_atom_site_fract_x
_atom_site_fract_y
_atom_site_fract_z
K1 0.0000 0.0000 0.0000
K2 0.5000 0.0000 0.0000
K3 0.5000 0.0000 0.5000
K4 0.5000 0.5000 0.5000
Ho1 0.0000 0.5000 0.5000
Ho2 0.5000 0.5000 0.0000
In1 0.0000 0.0000 0.5000
In2 0.0000 0.5000 0.0000
Se1 0.2037 0.7373 0.4664
Se2 0.2291 0.2627 0.9664
Se3 0.2372 0.2638 0.5267
Se4 0.2372 0.7105 0.9733
Se5 0.7628 0.2895 0.0267
Se6 0.7628 0.7362 0.4733
Se7 0.7709 0.7373 0.0336
Se8 0.7963 0.2627 0.5336
```